No. 1
5
Lattice="-1.353 1.440 2.352 -2.733 -1.050 -0.929 0.548 -3.718 2.593" Properties=species:S:1:pos:R:3 comment="NbHNF2 (GGA-PBE, optimized geometry)" energy_ev_per_cell=-29.01 crystal_system=tetragonal magmom_total_mub_per_cell=0.00 sg="No. 123" pbc="T T T"
N 0.274 -1.859 1.296
Nb -1.769 -1.664 2.008
F -0.676 0.720 1.176
H 0.000 0.000 0.000
F -1.367 -0.525 -0.464

No. 2
5
Lattice="4.037 0.000 0.000 0.000 4.177 0.000 0.000 0.000 4.037" Properties=species:S:1:pos:R:3 comment="NbHN2F (GGA-PBE, optimized geometry)" energy_ev_per_cell=-31.13 crystal_system=tetragonal magmom_total_mub_per_cell=0.37 sg="No. 123" pbc="T T T"
Nb 0.000 0.000 0.000
N 2.019 0.000 0.000
F 0.000 2.088 0.000
N 0.000 0.000 2.019
H 2.019 2.088 2.019

No. 3
5
Lattice="-1.281 3.220 0.164 -0.501 -0.373 3.412 2.946 1.144 0.558" Properties=species:S:1:pos:R:3 comment="NbHN2F (GGA-PBE, optimized geometry)" energy_ev_per_cell=-29.83 crystal_system=tetragonal magmom_total_mub_per_cell=0.00 sg="No. 123" pbc="T T T"
N -0.251 -0.186 1.706
Nb 0.582 1.995 2.067
F 1.473 0.572 0.279
H 0.000 0.000 0.000
N -0.641 1.610 0.082

What did the third record say?
5
Lattice="-1.281 3.220 0.164 -0.501 -0.373 3.412 2.946 1.144 0.558" Properties=species:S:1:pos:R:3 comment="NbHN2F (GGA-PBE, optimized geometry)" energy_ev_per_cell=-29.83 crystal_system=tetragonal magmom_total_mub_per_cell=0.00 sg="No. 123" pbc="T T T"
N -0.251 -0.186 1.706
Nb 0.582 1.995 2.067
F 1.473 0.572 0.279
H 0.000 0.000 0.000
N -0.641 1.610 0.082

> Number 2 is which compound?

NbHN2F